! La2TiRhO6 (PBE-GGA, optimized geometry); values from VASP
&SYSTEM
  ibrav = 0, nat = 20, ntyp = 4
/
ATOMIC_SPECIES
La 138.91 La.upf
Ti 47.87 Ti.upf
Rh 102.91 Rh.upf
O 16.00 O.upf
ATOMIC_POSITIONS angstrom
La 1.3787 0.0814 1.2218
La 1.3787 4.0212 1.2218
La 4.1362 4.1840 4.5532
La 4.1362 8.1238 4.5532
Ti 1.3787 6.1539 4.3687
Ti 4.1362 2.0513 1.4062
Rh 1.3787 2.0513 4.1590
Rh 4.1362 6.1539 1.6160
O 0.0103 6.1539 0.1090
O 0.0330 2.0513 2.6336
O 1.3787 4.2271 4.6406
O 1.3787 8.0806 4.6406
O 2.7245 2.0513 2.6336
O 2.7472 6.1539 0.1090
O 2.7678 2.0513 5.6660
O 2.7905 6.1539 3.1413
O 4.1362 0.1246 1.1344
O 4.1362 3.9780 1.1344
O 5.4820 6.1539 3.1413
O 5.5047 2.0513 5.6660
CELL_PARAMETERS angstrom
5.5150 0.0000 0.0000
0.0000 8.2052 0.0000
0.0000 0.0000 5.7749
! VASP energy, eV/atom: -8.07
! ρ, g cm⁻³: 6.667